[1]
# SmNiIr (PBE, relaxed)
data_SmNiIr
_chemical_formula_sum 'Sm4 Ni4 Ir4'
_cell_length_a 4.212
_cell_length_b 4.212
_cell_length_c 12.947
_cell_angle_alpha 90.00
_cell_angle_beta 90.00
_cell_angle_gamma 90.00
_space_group_name_H-M_alt 'I 4/m m m'
_space_group_IT_number 139
_space_group_name_Hall '-I 4 2'
loop_
_atom_site_label
_atom_site_fract_x
_atom_site_fract_y
_atom_site_fract_z
_atom_site_occupancy
Sm1 0.000 0.000 0.163 1
Ni1 0.000 0.500 0.000 1
Ir1 0.000 0.000 0.393 1
# DOS(E_F): 2.86 states/eV/f.u.
# E_form: -403 meV/atom
# uncorrected energy: -82.28 eV/cell



[2]
# Sm2NiIr (PBE, relaxed)
data_Sm2NiIr
_chemical_formula_sum 'Sm8 Ni4 Ir4'
_cell_length_a 6.965
_cell_length_b 6.965
_cell_length_c 6.965
_cell_angle_alpha 90.00
_cell_angle_beta 90.00
_cell_angle_gamma 90.00
_space_group_name_H-M_alt 'F m -3 m'
_space_group_IT_number 225
_space_group_name_Hall '-F 4 2 3'
loop_
_atom_site_label
_atom_site_fract_x
_atom_site_fract_y
_atom_site_fract_z
_atom_site_occupancy
Sm1 0.250 0.250 0.250 1
Ni1 0.000 0.000 0.000 1
Ir1 0.000 0.000 0.500 1
# DOS(E_F): 3.28 states/eV/f.u.
# E_form: -503 meV/atom
# uncorrected energy: -104.36 eV/cell



[3]
# Sm6Ni2Ir (PBE, relaxed)
data_Sm6Ni2Ir
_chemical_formula_sum 'Sm24 Ni8 Ir4'
_cell_length_a 9.537
_cell_length_b 9.717
_cell_length_c 9.792
_cell_angle_alpha 90.00
_cell_angle_beta 90.00
_cell_angle_gamma 90.00
_space_group_name_H-M_alt 'I m m m'
_space_group_IT_number 71
_space_group_name_Hall '-I 2 2'
loop_
_atom_site_label
_atom_site_fract_x
_atom_site_fract_y
_atom_site_fract_z
_atom_site_occupancy
Sm1 0.000 0.242 0.180 1
Sm2 0.188 0.331 0.500 1
Sm3 0.237 0.000 0.328 1
Ni1 0.000 0.118 0.500 1
Ni2 0.000 0.500 0.327 1
Ir1 0.000 0.000 0.000 1
Ir2 0.000 0.500 0.000 1
# DOS(E_F): 7.67 states/eV/f.u.
# E_form: -339 meV/atom
# uncorrected energy: -207.17 eV/cell



[4]
# SmNiIr (PBE, relaxed)
data_SmNiIr
_chemical_formula_sum 'Sm4 Ni4 Ir4'
_cell_length_a 5.162
_cell_length_b 5.425
_cell_length_c 7.410
_cell_angle_alpha 90.00
_cell_angle_beta 90.00
_cell_angle_gamma 90.00
_space_group_name_H-M_alt 'I m m a'
_space_group_IT_number 74
_space_group_name_Hall '-I 2b 2'
loop_
_atom_site_label
_atom_site_fract_x
_atom_site_fract_y
_atom_site_fract_z
_atom_site_occupancy
Sm1 0.000 0.250 0.123 1
Ni1 0.250 0.250 0.750 1
Ir1 0.000 0.000 0.500 1
# DOS(E_F): 2.33 states/eV/f.u.
# E_form: -588 meV/atom
# uncorrected energy: -84.50 eV/cell



> The lowest DOS(E_F) belongs to which entry?

number 4